Below is a PBEsol-optimized structure of TaHg2P, with properties calculated at the meta-GGA SCAN level.

Calculated values
calculated volume	79	Å³ per cell
energy of formation from the pure elements	32	kJ/mol of formula units
total magnetic moment	0.00	μB/f.u.

Structure (POSCAR):
```
TaHg2P
1.0
3.259 0.000 0.000
1.629 2.822 0.000
1.629 0.941 8.571
Hg Ta P
2 1 1
Cartesian
4.888 2.822 6.297 Hg
4.888 2.822 0.162 Hg
1.629 0.941 2.432 Ta
3.259 1.882 3.966 P
```


Below is a PBEsol-optimized structure of IrF3, with properties calculated at the meta-GGA SCAN level.

Calculated values
calculated volume	96	Å³ per cell
uncorrected formation energy	-1.45	eV/atom
total magnetic moment	0.00	μB/f.u.

Structure (POSCAR):
```
IrF3
1.0
-3.608 -0.191 3.350
-1.522 -4.353 1.736
1.397 -1.261 5.057
F Ir
6 2
Cartesian
-0.381 -4.225 5.362 F
-1.435 -2.886 3.108 F
-0.590 -1.373 5.339 F
-3.352 -1.579 4.781 F
-2.298 -2.918 7.035 F
-3.143 -4.432 4.804 F
0.000 0.000 0.000 Ir
-1.867 -2.902 5.071 Ir
```


Below is a PBEsol-optimized structure of CdAgSb2, with properties calculated at the meta-GGA SCAN level.

Calculated values
calculated volume	92	Å³ per cell
energy above the lowest structure with this stoichiometry	0.17	kcal/mol of atoms
uncorrected formation energy	0.19	eV/atom
total magnetic moment	0.00	μB/f.u.

Structure (POSCAR):
```
CdAgSb2
1.0
-0.452 -1.852 2.764
-1.572 -3.789 -3.473
5.369 -0.241 0.039
Sb Ag Cd
2 1 1
Cartesian
2.684 -0.121 0.019 Sb
-0.786 -1.894 -1.736 Sb
1.673 -2.941 -0.335 Ag
-0.226 -0.926 1.382 Cd
```


Below is a PBEsol-optimized structure of SrTiSiCl2, with properties calculated at the meta-GGA SCAN level.

Calculated values
calculated volume	161	Å³ per cell
uncorrected formation energy	-0.41	eV/atom
total magnetic moment	4.34	μB/f.u.

Structure (POSCAR):
```
SrTiSiCl2
1.0
-2.453 0.817 3.832
3.037 -2.459 2.469
4.039 6.248 1.254
Si Sr Cl Ti
1 1 2 1
Cartesian
2.312 2.303 3.777 Si
2.019 3.124 0.627 Sr
-1.227 0.409 1.916 Cl
1.519 -1.230 1.234 Cl
0.000 0.000 0.000 Ti
```